ThInB4 | GGA-PBE | optimized geometry

Results
Symmetry: Immm

POSCAR file:
```
ThInB4
1.0
-1.6274 2.7324 4.3429
1.6274 -2.7324 4.3429
1.6274 2.7324 -4.3429
In B Th
1 4 1
Direct
0.0000 0.0000 0.0000
0.9171 0.2401 0.6770
0.0829 0.7599 0.3230
0.5631 0.2401 0.3230
0.4370 0.7599 0.6770
0.5000 0.5000 0.0000
```

ThInB | GGA-PBE | optimized geometry

Results
Symmetry: F-43m

POSCAR file:
```
ThInB
1.0
-0.1271 -4.5215 1.3810
-2.9925 -3.0214 -2.0696
1.6573 -3.3906 -2.8503
Th In B
1 1 1
Direct
0.7500 0.7500 0.7500
0.0000 0.0000 0.0000
0.2500 0.2500 0.2500
```

ThInB | GGA-PBE | optimized geometry

Results
Symmetry: F-43m

POSCAR file:
```
ThInB
1.0
1.7489 -1.1777 4.0633
-2.3251 0.8980 3.8397
-1.8749 -3.4220 2.3938
B In Th
1 1 1
Direct
0.0000 0.0000 0.0000
0.2500 0.2500 0.2500
0.7500 0.7500 0.7500
```

ThInB4 | GGA-PBE | optimized geometry

Results
Symmetry: P6/mmm

POSCAR file:
```
ThInB4
1.0
3.2419 0.0000 0.0000
-1.6210 2.8076 0.0000
0.0000 0.0000 8.0942
In B Th
1 4 1
Direct
0.0000 0.0000 0.5000
0.6667 0.3333 0.2615
0.3333 0.6667 0.7385
0.3333 0.6667 0.2615
0.6667 0.3333 0.7385
0.0000 0.0000 0.0000
```

Zr4TlInB2 | GGA-PBE | optimized geometry

Results
Symmetry: P-6m2

POSCAR file:
```
Zr4TlInB2
1.0
3.4589 0.0000 0.0000
-1.7294 2.9955 0.0000
0.0000 0.0000 15.4074
Zr B Tl In
4 2 1 1
Direct
0.3333 0.6667 0.1650
0.0000 0.0000 0.3336
0.3333 0.6667 0.8350
0.0000 0.0000 0.6664
0.6667 0.3333 0.7504
0.6667 0.3333 0.2496
0.3333 0.6667 0.5000
0.0000 0.0000 0.0000
```

TmInB4 | GGA-PBE | optimized geometry

Results
Symmetry: P6/mmm

POSCAR file:
```
TmInB4
1.0
3.2180 0.0000 0.0000
-1.6090 2.7869 0.0000
0.0000 0.0000 7.6157
In Tm B
1 1 4
Direct
0.0000 0.0000 0.5000
0.0000 0.0000 0.0000
0.3333 0.6667 0.7546
0.3333 0.6667 0.2454
0.6667 0.3333 0.7546
0.6667 0.3333 0.2454
```

TmInB | GGA-PBE | optimized geometry

Results
Symmetry: F-43m

POSCAR file:
```
TmInB
1.0
1.1694 -1.3598 3.8866
1.6070 2.7681 2.8421
-2.2955 1.1131 3.4372
B Tm In
1 1 1
Direct
0.0000 0.0000 0.0000
0.7500 0.7500 0.7500
0.2500 0.2500 0.2500
```

TmInB4 | GGA-PBE | optimized geometry

Results
Symmetry: Immm

POSCAR file:
```
TmInB4
1.0
0.6961 -4.9707 0.8238
-4.1239 -2.2358 -1.9661
4.1113 2.7438 -1.2002
B In Tm
4 1 1
Direct
0.4340 0.7614 0.6726
0.5660 0.2386 0.3274
0.0889 0.7614 0.3274
0.9111 0.2386 0.6726
0.0000 0.0000 0.0000
0.5000 0.5000 0.0000
```

TmInB | GGA-PBE | optimized geometry

Results
Symmetry: F-43m

POSCAR file:
```
TmInB
1.0
-1.2370 -4.3908 -0.4116
-4.4320 -1.1507 0.1108
-2.0873 -1.4435 -3.8129
B Tm In
1 1 1
Direct
0.2500 0.2500 0.2500
0.0000 0.0000 0.0000
0.7500 0.7500 0.7500
```

UInB | GGA-PBE | optimized geometry

Results
Symmetry: F-43m

POSCAR file:
```
UInB
1.0
-2.7244 0.3402 3.7773
-4.6443 0.0991 -0.4762
-2.5623 -3.6579 1.3639
U B In
1 1 1
Direct
0.7500 0.7500 0.7500
0.2499 0.2499 0.2499
0.0000 0.0000 0.0000
```

UInB | GGA-PBE | optimized geometry

Results
Symmetry: F-43m

POSCAR file:
```
UInB
1.0
-1.8874 -3.0188 2.9164
-0.0516 0.8867 4.5157
-3.9687 1.0044 2.1027
In U B
1 1 1
Direct
0.7500 0.7500 0.7500
0.0000 0.0000 0.0000
0.2500 0.2500 0.2500
```

InB2W3 | GGA-PBE | optimized geometry

Results
Symmetry: P6_3/mmc

POSCAR file:
```
InB2W3
1.0
3.1283 0.0000 0.0000
-1.5642 2.7092 0.0000
0.0000 0.0000 19.5310
In W B
2 6 4
Direct
0.0000 0.0000 0.2500
0.0000 0.0000 0.7500
0.0000 0.0000 0.0000
0.3333 0.6667 0.6287
0.3333 0.6667 0.8713
0.6667 0.3333 0.3713
0.6667 0.3333 0.1287
0.0000 0.0000 0.5000
0.3333 0.6667 0.4325
0.3333 0.6667 0.0675
0.6667 0.3333 0.5675
0.6667 0.3333 0.9325
```

InBW | GGA-PBE | optimized geometry

Results
Symmetry: F-43m

POSCAR file:
```
InBW
1.0
0.0000 3.0038 3.0038
3.0038 0.0000 3.0038
3.0038 3.0038 0.0000
In B W
1 1 1
Direct
0.7500 0.7500 0.7500
0.2500 0.2500 0.2500
0.0000 0.0000 0.0000
```

InBW | GGA-PBE | optimized geometry

Results
Symmetry: F-43m

POSCAR file:
```
InBW
1.0
-0.7507 -0.2571 3.9186
-3.7688 0.1419 1.3270
-1.7180 -3.2861 1.4949
In B W
1 1 1
Direct
0.2500 0.2500 0.2500
0.0000 0.0000 0.0000
0.7500 0.7500 0.7500
```

ZnInB2 | GGA-PBE | optimized geometry

Results
Symmetry: F-43m

POSCAR file:
```
ZnInB2
1.0
2.8257 -2.9244 -1.4632
2.0212 -2.6277 2.7726
-0.9920 -4.2050 0.1061
Zn B In
1 2 1
Direct
0.5000 0.5000 0.5000
0.0000 0.0000 0.0000
0.2500 0.2500 0.2500
0.7500 0.7500 0.7500
```

ZnIn2B | GGA-PBE | optimized geometry

Results
Symmetry: F-43m

POSCAR file:
```
ZnIn2B
1.0
0.0000 3.3961 3.3961
3.3961 0.0000 3.3961
3.3961 3.3961 0.0000
Zn In B
1 2 1
Direct
0.5000 0.5000 0.5000
0.0000 0.0000 0.0000
0.2500 0.2500 0.2500
0.7500 0.7500 0.7500
```

ZrInB | GGA-PBE | optimized geometry

Results
Symmetry: F-43m

POSCAR file:
```
ZrInB
1.0
1.7450 -1.9981 3.2031
-1.5280 0.4884 3.8372
-2.0203 -3.1306 1.8479
In B Zr
1 1 1
Direct
0.2500 0.2500 0.2500
0.0000 0.0000 0.0000
0.7500 0.7500 0.7500
```

ZrInB | GGA-PBE | optimized geometry

Results
Symmetry: F-43m

POSCAR file:
```
ZrInB
1.0
3.0493 1.1362 3.1065
-0.1374 -1.8857 4.0823
3.1703 -2.9480 1.2240
Zr B In
1 1 1
Direct
0.0000 0.0000 0.0000
0.2500 0.2500 0.2500
0.7500 0.7500 0.7500
```

ZrIn2B | GGA-PBE | optimized geometry

Results
Symmetry: F-43m

POSCAR file:
```
ZrIn2B
1.0
0.0000 3.3909 3.3909
3.3909 0.0000 3.3909
3.3909 3.3909 0.0000
Zr B In
1 1 2
Direct
0.5000 0.5000 0.5000
0.7500 0.7500 0.7500
0.0000 0.0000 0.0000
0.2500 0.2500 0.2500
```

Zr4InB3 | GGA-PBE | optimized geometry

Results
Symmetry: P6_3/mmc

POSCAR file:
```
Zr4InB3
1.0
-0.7580 1.7822 -2.8620
0.7585 -3.3649 -0.2099
-25.9798 -6.0505 3.1135
Zr B In
8 6 2
Direct
0.0000 0.0000 0.1545
0.0000 0.0000 0.3455
0.3333 0.6667 0.0543
0.6667 0.3333 0.9457
0.3333 0.6667 0.4457
0.6667 0.3333 0.5543
0.0000 0.0000 0.6545
0.0000 0.0000 0.8455
0.0000 0.0000 0.0000
0.6667 0.3333 0.3919
0.0000 0.0000 0.5000
0.6667 0.3333 0.1081
0.3333 0.6667 0.6081
0.3333 0.6667 0.8919
0.6667 0.3333 0.7500
0.3333 0.6667 0.2500
```

Zr2InB | GGA-PBE | optimized geometry

Results
Symmetry: P6_3/mmc

POSCAR file:
```
Zr2InB
1.0
3.4500 0.0000 0.0000
-1.7250 2.9878 0.0000
0.0000 0.0000 15.3885
Zr B In
4 2 2
Direct
0.6667 0.3333 0.9153
0.6667 0.3333 0.5847
0.3333 0.6667 0.0847
0.3333 0.6667 0.4153
0.0000 0.0000 0.5000
0.0000 0.0000 0.0000
0.6667 0.3333 0.2500
0.3333 0.6667 0.7500
```

B4Ir | GGA-PBE | optimized geometry

Results
Symmetry: Pmmn

POSCAR file:
```
B4Ir
1.0
3.0154 0.0000 0.0000
0.0000 7.0113 0.0000
0.0000 0.0000 4.0266
B Ir
8 2
Direct
0.5000 0.7044 0.3170
0.0000 0.6630 0.0198
0.0000 0.2044 0.6830
0.0000 0.3370 0.0198
0.5000 0.2956 0.3170
0.5000 0.8370 0.9802
0.0000 0.7956 0.6830
0.5000 0.1630 0.9802
0.0000 0.5000 0.4931
0.5000 0.0000 0.5069
```

B4Ir | GGA-PBE | optimized geometry

Results
Symmetry: R-3m

POSCAR file:
```
B4Ir
1.0
1.3873 0.8010 6.1641
-1.3873 0.8010 6.1641
0.0000 -1.6019 6.1641
B Ir
4 1
Direct
0.1876 0.1876 0.1876
0.4235 0.4235 0.4235
0.5765 0.5765 0.5765
0.8124 0.8124 0.8124
0.0000 0.0000 0.0000
```

BIr4 | GGA-PBE | optimized geometry

Results
Symmetry: P4/nmm

POSCAR file:
```
BIr4
1.0
3.8310 0.0000 0.0000
0.0000 3.8310 0.0000
0.0000 0.0000 9.1649
Ir B
8 2
Direct
0.0000 0.0000 0.7098
0.0000 0.0000 0.0000
0.0000 0.5000 0.5007
0.5000 0.5000 0.7098
0.5000 0.5000 0.0000
0.5000 0.5000 0.2902
0.0000 0.0000 0.2902
0.5000 0.0000 0.4993
0.0000 0.5000 0.1288
0.5000 0.0000 0.8712
```

B4Ir | GGA-PBE | optimized geometry

Results
Symmetry: Pnnm

POSCAR file:
```
B4Ir
1.0
-1.2652 -3.2758 3.4341
-1.3226 -3.6074 -3.9284
2.9760 -1.1208 0.0273
B Ir
8 2
Direct
0.6344 0.1163 0.0000
0.8656 0.6163 0.5000
0.7526 0.8204 0.0000
0.7474 0.3204 0.5000
0.1344 0.3837 0.5000
0.2526 0.6796 0.5000
0.3656 0.8837 0.0000
0.2474 0.1796 0.0000
0.5000 0.5000 0.0000
0.0000 0.0000 0.5000
```

KB4Ir | GGA-PBE | optimized geometry

Results
Symmetry: P6/mmm

POSCAR file:
```
KB4Ir
1.0
3.1020 0.0000 0.0000
-1.5510 2.6864 0.0000
0.0000 0.0000 8.1216
B K Ir
4 1 1
Direct
0.6667 0.3333 0.6937
0.6667 0.3333 0.3063
0.3333 0.6667 0.6937
0.3333 0.6667 0.3063
0.0000 0.0000 0.0000
0.0000 0.0000 0.5000
```

KB4Ir | GGA-PBE | optimized geometry

Results
Symmetry: Immm

POSCAR file:
```
KB4Ir
1.0
0.7868 -2.9764 4.3856
4.2843 2.0460 2.4839
-5.1218 0.2367 -1.5566
B K Ir
4 1 1
Direct
0.9253 0.2817 0.6436
0.6382 0.2817 0.3564
0.0747 0.7183 0.3564
0.3618 0.7183 0.6436
0.5000 0.5000 0.0000
0.0000 0.0000 0.0000
```

LaB4Ir | GGA-PBE | optimized geometry

Results
Symmetry: P6/mmm

POSCAR file:
```
LaB4Ir
1.0
3.2609 0.0000 0.0000
-1.6305 2.8241 0.0000
0.0000 0.0000 7.1781
Ir B La
1 4 1
Direct
0.0000 0.0000 0.5000
0.3333 0.6667 0.2974
0.3333 0.6667 0.7026
0.6667 0.3333 0.2974
0.6667 0.3333 0.7026
0.0000 0.0000 0.0000
```

Taking the records one at a time from the top gives E values of -36.93 -13.36 -16.27 -36.32 -55.96 -33.92 -13.84 -34.66 -11.33 -15.93 -16.62 -110.53 -17.20 -19.37 -10.97 -9.60 -17.52 -15.11 -17.49 -120.61 -56.52 -70.49 -31.92 -84.00 -69.26 -34.68 -33.26 -40.75 eV per cell.